Compound: Pr3NpRu3
Source: the Alexandria database
Functional: GGA-PBE
Structure: relaxed

Energy relative to the elements in eV per atom: -0.109
Space-group type: C2/m (12)
V in A^3/atom: 24.51

Cell: 4.099 6.495 13.737 Å, 88.26 81.42 71.60°
Last column: magnetic moment on the atom in μB.
Positions (direct):
Pr: 0.493 0.381 0.633  0.09
Pr: 0.507 0.619 0.367  0.09
Pr: 0.264 0.268 0.205  0.03
Pr: 0.736 0.732 0.795  0.03
Pr: 0.398 0.277 0.927  0.01
Pr: 0.602 0.723 0.073  0.01
Np: 0.770 0.062 0.398  2.54
Np: 0.230 0.938 0.602  2.54
Ru: 0.871 0.723 0.536  -0.31
Ru: 0.129 0.277 0.464  -0.31
Ru: 0.106 0.856 0.931  -0.04
Ru: 0.894 0.144 0.069  -0.04
Ru: 0.931 0.891 0.247  -0.32
Ru: 0.069 0.109 0.753  -0.32